Record 1
Entry from the Alexandria database: a relaxed In2NiPd crystal (PBE-GGA).

a b c (Å): 6.4772 6.4772 6.4772
angles (deg): 90.00 90.00 90.00
Closest atoms and distances in Å follow each position.
Space group Fm-3m (No. 225)
Inequivalent atoms, fractional coordinates:
In  0.2500  0.2500  0.2500  4 Ni 2.80, 4 Pd 2.80
Ni  0.0000  0.0000  0.0000  8 In 2.80
Pd  0.0000  0.0000  0.5000  8 In 2.80

* total DFT energy (no corrections): -4.375 eV per atom
* formation enthalpy at 0 K: -0.263 eV per atom
* D(E_F): 1.81 states/eV/f.u.
* energy above the most stable polymorph in this dataset: 22 meV per atom

Record 2
Entry from the Alexandria database: a relaxed In3NiPd crystal (PBE-GGA).

a b c (Å): 4.8561 4.8561 4.8561
angles (deg): 90.00 90.00 90.00
Closest atoms and distances in Å follow each position.
Space group Pm-3m (No. 221)
Inequivalent atoms, fractional coordinates:
In  0.0000  0.0000  0.5000  2 Ni 2.43
Ni  0.0000  0.0000  0.0000  6 In 2.43
Pd  0.5000  0.5000  0.5000  12 In 3.43

* total DFT energy (no corrections): -3.734 eV per atom
* formation enthalpy at 0 K: 0.104 eV per atom
* D(E_F): 1.81 states/eV/f.u.
* energy above the most stable polymorph in this dataset: 0 meV per atom

Record 3
Entry from the Alexandria database: a relaxed In4NiPd7 crystal (PBE-GGA).

a b c (Å): 11.1570 4.7967 9.5132
angles (deg): 90.00 119.36 90.00
Closest atoms and distances in Å follow each position.
Space group C2/m (No. 12)
Inequivalent atoms, fractional coordinates:
In  0.0855  0.0000  0.2735  8 Pd 2.69-2.90
In  0.2446  0.0000  0.8195  7 Pd 2.68-3.00
Ni  0.0000  0.5000  0.5000  6 Pd 2.40-2.66
Pd  0.0000  0.0000  0.5000  2 Ni 2.40
Pd  0.0813  0.5000  0.8138  1 Ni 2.66, 2 Pd 2.74-2.78, 2 In 2.90
Pd  0.1366  0.0000  0.0233  5 In 2.69-2.79, 4 Pd 2.74-2.98
Pd  0.1953  0.5000  0.4209  1 Ni 2.63, 4 In 2.68-2.74, 3 Pd 2.78

* total DFT energy (no corrections): -4.637 eV per atom
* formation enthalpy at 0 K: -0.214 eV per atom
* D(E_F): 9.13 states/eV/f.u.

Record 4
Entry from the Alexandria database: a relaxed In8Ni3Pd2 crystal (PBE-GGA).

a b c (Å): 7.7759 4.5240 7.8105
angles (deg): 90.00 109.73 90.00
Closest atoms and distances in Å follow each position.
Space group P2/m (No. 10)
Inequivalent atoms, fractional coordinates:
In  0.1205  0.0000  0.3803  2 Ni 2.73-2.75, 2 Pd 2.82
In  0.1230  0.5000  0.8661  3 Ni 2.74-2.76, 2 Pd 2.76-2.81
In  0.3645  0.5000  0.6233  3 Ni 2.74-2.77, 2 Pd 2.76-2.80
In  0.3762  0.0000  0.1233  4 Ni 2.72-2.76, 2 Pd 2.76
Ni  0.2527  0.0000  0.7537  8 In 2.72-2.75
Ni  0.5000  0.5000  0.0000  8 In 2.76-2.77
Pd  0.2534  0.5000  0.2483  8 In 2.76-2.82

* total DFT energy (no corrections): -4.046 eV per atom
* formation enthalpy at 0 K: -0.228 eV per atom
* D(E_F): 6.06 states/eV/f.u.